Entry from the Alexandria database: a geometry-optimized PmPaSiTc structure (PBE).

Cell: 4.964 4.964 4.964 Å, 60.00 60.00 60.00°
Fractional positions:
1 Si 0.750 0.750 0.750
2 Pa 0.000 0.000 0.000
3 Tc 0.250 0.250 0.250
4 Pm 0.500 0.500 0.500

Its energy relative to the elements, uncorrected is -33 meV/atom. The total energy comes out at -30.2 eV/f.u.

Entry from the Alexandria database: a geometry-optimized PmPaZnSi structure (PBE).

Cell: 5.040 5.040 5.040 Å, 60.00 60.00 60.00°
Fractional positions:
1 Zn 0.000 0.000 0.000
2 Pa 0.250 0.250 0.250
3 Si 0.500 0.500 0.500
4 Pm 0.750 0.750 0.750

Its energy relative to the elements, uncorrected is -160 meV/atom. The total energy comes out at -21.6 eV/f.u.

Entry from the Alexandria database: a geometry-optimized PmSm2Pa structure (PBE).

Cell: 3.378 3.378 12.636 Å, 82.32 82.32 60.00°
Fractional positions:
1 Pa 0.000 0.000 0.000
2 Sm 0.086 0.086 0.742
3 Sm 0.914 0.914 0.258
4 Pm 0.500 0.500 0.500

The total energy comes out at -22.4 eV/f.u. Its formation energy is 316 meV/atom.

Entry from the Alexandria database: a geometry-optimized PmSm2Pa structure (PBE).

Cell: 3.443 3.443 10.508 Å, 90.00 90.00 90.00°
Fractional positions:
1 Pa 0.500 0.500 0.000
2 Sm 0.000 0.000 0.772
3 Sm 0.000 0.000 0.228
4 Pm 0.500 0.500 0.500

The total energy comes out at -23.1 eV/f.u. Its formation energy is 146 meV/atom.

Entry from the Alexandria database: a geometry-optimized PmSmThPa structure (PBE).

Cell: 5.585 5.585 5.585 Å, 60.00 60.00 60.00°
Fractional positions:
1 Pa 0.000 0.000 0.000
2 Sm 0.500 0.500 0.500
3 Th 0.250 0.250 0.250
4 Pm 0.750 0.750 0.750

The total energy comes out at -24.9 eV/f.u. Its formation energy is 377 meV/atom.

Entry from the Alexandria database: a geometry-optimized Pm4PaSn5 structure (PBE).

Cell: 3.481 3.481 22.651 Å, 90.00 90.00 90.00°
Fractional positions:
1 Pm 0.000 0.000 0.196
2 Pm 0.000 0.000 0.399
3 Pm 0.000 0.000 0.601
4 Pm 0.000 0.000 0.804
5 Pa 0.000 0.000 0.000
6 Sn 0.500 0.500 0.097
7 Sn 0.500 0.500 0.298
8 Sn 0.500 0.500 0.500
9 Sn 0.500 0.500 0.702
10 Sn 0.500 0.500 0.903

The total energy comes out at -54.2 eV/f.u. Its formation energy is -567 meV/atom.

Entry from the Alexandria database: a geometry-optimized PmPaSn structure (PBE).

Cell: 4.078 4.078 5.813 Å, 110.53 110.53 90.00°
Fractional positions:
1 Pa 0.935 0.935 0.870
2 Sn 0.283 0.283 0.567
3 Pm 0.632 0.632 0.263

The total energy comes out at -18.5 eV/f.u. Its formation energy is -89 meV/atom.

Entry from the Alexandria database: a geometry-optimized PmPaSn structure (PBE).

Cell: 5.876 3.221 9.019 Å, 79.71 90.00 90.00°
Fractional positions:
1 Sn 0.750 0.644 0.713
2 Sn 0.250 0.356 0.287
3 Pm 0.500 0.000 0.000
4 Pm 0.000 0.000 0.000
5 Pa 0.750 0.821 0.358
6 Pa 0.250 0.179 0.642

The total energy comes out at -18.0 eV/f.u. Its formation energy is 75 meV/atom.

- Which formula does entry 5 have?
  PmSmThPa